## P
{"formula": "TmIrPt", "functional": "PBE-GGA", "state": "optimized geometry", "cell": [[0.0000, 3.1718, 3.1718], [3.1718, 0.0000, 3.1718], [3.1718, 3.1718, 0.0000]], "species": ["Ir", "Pt", "Tm"], "fractional_positions": [[0.2500, 0.2500, 0.2500], [0.0000, 0.0000, 0.0000], [0.7500, 0.7500, 0.7500]], "space_group": "F-43m, No. 216", "magnetic_moment_mub_per_cell": 0.53}

---

## Q
{"formula": "TmIrPt", "functional": "PBE-GGA", "state": "optimized geometry", "cell": [[-1.6297, -1.9827, 3.6530], [-2.9712, 2.1328, 2.5601], [-4.2510, -1.3610, 0.0929]], "species": ["Ir", "Pt", "Tm"], "fractional_positions": [[0.2500, 0.2500, 0.2500], [0.7500, 0.7500, 0.7500], [0.0000, 0.0000, 0.0000]], "space_group": "F-43m, No. 216", "magnetic_moment_mub_per_cell": 0.00}

---

Ordering by calculated energy gives the sequence P, Q, with the first entry being the most stable.

---

## P
{"formula": "Ir2Pt2W", "functional": "PBE-GGA", "state": "optimized geometry", "cell": [[-1.8072, 1.8072, 6.3297], [1.8072, -1.8072, 6.3297], [1.8072, 1.8072, -6.3297]], "species": ["Ir", "Ir", "Pt", "Pt", "W"], "fractional_positions": [[0.7500, 0.2500, 0.5000], [0.2500, 0.7500, 0.5000], [0.4011, 0.4011, 0.0000], [0.5989, 0.5989, 0.0000], [0.0000, 0.0000, 0.0000]], "space_group": "I4/mmm, No. 139", "magnetic_moment_mub_per_cell": 0.26}

---

## Q
{"formula": "Ir2Pt2W", "functional": "PBE-GGA", "state": "optimized geometry", "cell": [[5.1157, 4.3070, 0.9411], [0.8921, 6.6370, -0.8721], [-3.8051, -5.0474, 2.3772]], "species": ["Ir", "Ir", "Pt", "Pt", "W"], "fractional_positions": [[0.4033, 0.4033, 0.0000], [0.5967, 0.5967, 0.0000], [0.7500, 0.2500, 0.5000], [0.2500, 0.7500, 0.5000], [0.0000, 0.0000, 0.0000]], "space_group": "I4/mmm, No. 139", "magnetic_moment_mub_per_cell": 0.04}

---

Ordering by calculated energy gives the sequence Q, P, with the first entry being the most stable.

---

## P
{"formula": "RbSiIr", "functional": "PBE-GGA", "state": "optimized geometry", "cell": [[0.0000, 3.2847, 3.2847], [3.2847, 0.0000, 3.2847], [3.2847, 3.2847, 0.0000]], "species": ["Ir", "Rb", "Si"], "fractional_positions": [[0.2500, 0.2500, 0.2500], [0.7500, 0.7500, 0.7500], [0.0000, 0.0000, 0.0000]], "space_group": "F-43m, No. 216", "magnetic_moment_mub_per_cell": 0.00}

---

## Q
{"formula": "RbSiIr", "functional": "PBE-GGA", "state": "optimized geometry", "cell": [[0.0000, 3.4365, 3.4365], [3.4365, 0.0000, 3.4365], [3.4365, 3.4365, 0.0000]], "species": ["Ir", "Rb", "Si"], "fractional_positions": [[0.2500, 0.2500, 0.2500], [0.0000, 0.0000, 0.0000], [0.7500, 0.7500, 0.7500]], "space_group": "F-43m, No. 216", "magnetic_moment_mub_per_cell": 0.00}

---

Ordering by calculated energy gives the sequence P, Q, with the first entry being the most stable.

---

## P
{"formula": "RbTaIr", "functional": "PBE-GGA", "state": "optimized geometry", "cell": [[4.1141, -1.5883, 1.1897], [0.4929, -4.3720, 1.2275], [2.2069, -2.9081, -2.7453]], "species": ["Ir", "Rb", "Ta"], "fractional_positions": [[0.2500, 0.2500, 0.2500], [0.0000, 0.0000, 0.0000], [0.7500, 0.7500, 0.7500]], "space_group": "F-43m, No. 216", "magnetic_moment_mub_per_cell": 0.00}

---

## Q
{"formula": "RbTaIr", "functional": "PBE-GGA", "state": "optimized geometry", "cell": [[0.0000, 3.3157, 3.3157], [3.3157, 0.0000, 3.3157], [3.3157, 3.3157, 0.0000]], "species": ["Ir", "Rb", "Ta"], "fractional_positions": [[0.0000, 0.0000, 0.0000], [0.2500, 0.2500, 0.2500], [0.7500, 0.7500, 0.7500]], "space_group": "F-43m, No. 216", "magnetic_moment_mub_per_cell": 0.53}

---

Ordering by calculated energy gives the sequence Q, P, with the first entry being the most stable.